Entry from Alexandria: TlCdCl2F after structural relaxation (PBE).

Structure (CIF):
```
data_TlCdCl2F
_space_group_name_H-M_alt 'P 1 21/m 1'
_space_group_IT_number 11
_space_group_name_Hall '-P 2yb'
_cell_length_a 8.0824
_cell_length_b 3.9570
_cell_length_c 9.4920
_cell_angle_alpha 90.00
_cell_angle_beta 112.05
_cell_angle_gamma 90.00
loop_
_atom_site_label
_atom_site_fract_x
_atom_site_fract_y
_atom_site_fract_z
Tl1 0.1254 0.2500 0.3704
Cd1 0.3789 0.2500 0.8094
Cl1 0.2954 0.7500 0.9704
Cl2 0.4444 0.7500 0.6547
F1 0.0932 0.2500 0.6409
```

Formation energy from raw total energies in kJ/mol of atoms: -135.1
N(E_F) in states/eV per atom: 0.00
Crystal system: monoclinic
Volume in Å³/cell: 281.4
Total magnetic moment in μB/atom: 0.00